# InCoNi4, relaxed, DFT PBE-GGA
# - final energy (eV/atom) = -5.3909
# - energy of formation (eV per atom) = 0.1041
data_InCoNi4
_symmetry_space_group_name_H-M 'F -4 3 m'
_symmetry_Int_Tables_number 216
_symmetry_space_group_name_Hall 'F -4 2 3'
_cell_length_a 6.7322
_cell_length_b 6.7322
_cell_length_c 6.7322
_cell_angle_alpha 90.00
_cell_angle_beta 90.00
_cell_angle_gamma 90.00
loop_
_atom_site_label
_atom_site_type_symbol
_atom_site_fract_x
_atom_site_fract_y
_atom_site_fract_z
In1 In 0.0000 0.0000 0.0000
Co1 Co 0.2500 0.2500 0.2500
Ni1 Ni 0.1245 0.1245 0.6245